1.
LiBiSe2S, optimized geometry, DFT GGA-PBE; energy = -15.82 eV per cell; space group = P4/mmm; ρ = 5.046 Mg/m³
1.0
4.986 0.000 0.000
0.000 4.986 0.000
0.000 0.000 5.372
Li Bi Se S
1 1 2 1
direct
0.000 0.000 0.000
0.500 0.500 0.000
0.000 0.500 0.500
0.500 0.000 0.500
0.500 0.500 0.500


2.
SrMg5Sc4, optimized geometry, DFT GGA-PBE; energy = -35.18 eV per cell; space group = P4/mmm; ρ = 2.535 Mg/m³; calculated formation energy = -0.020 eV per atom
1.0
3.669 0.000 0.000
0.000 3.669 0.000
0.000 0.000 18.927
Sr Mg Sc
1 5 4
direct
0.000 0.000 0.000
0.500 0.500 0.131
0.500 0.500 0.315
0.500 0.500 0.500
0.500 0.500 0.685
0.500 0.500 0.869
0.000 0.000 0.224
0.000 0.000 0.408
0.000 0.000 0.592
0.000 0.000 0.776


3.
SiNi4Ir, optimized geometry, DFT GGA-PBE; energy = -36.81 eV per cell; space group = F-43m; ρ = 10.686 Mg/m³
1.0
0.000 3.282 3.282
3.282 0.000 3.282
3.282 3.282 0.000
Si Ni Ir
1 4 1
direct
0.000 0.000 0.000
0.126 0.625 0.625
0.625 0.126 0.625
0.625 0.625 0.126
0.625 0.625 0.625
0.250 0.250 0.250


4.
GaAg2S8, optimized geometry, DFT GGA-PBE; energy = -41.07 eV per cell; space group = P-1; ρ = 3.826 Mg/m³
1.0
5.871 0.000 0.000
-2.046 5.676 0.000
-2.557 -1.088 7.059
Ga Ag S
1 2 8
direct
0.000 0.000 0.000
0.248 0.495 0.745
0.752 0.505 0.255
0.062 0.936 0.408
0.152 0.436 0.037
0.416 0.618 0.499
0.473 0.049 0.120
0.527 0.951 0.880
0.584 0.382 0.501
0.848 0.564 0.963
0.938 0.064 0.592


5.
Li6Ag3Pd, optimized geometry, DFT GGA-PBE; energy = -53.42 eV per cell; space group = Cmc2_1; ρ = 4.902 Mg/m³; calculated formation energy = -0.148 eV per atom; offset from the most stable computed form = 0.00 eV/f.u.
1.0
3.226 -6.993 0.000
3.226 6.993 0.000
0.000 0.000 7.083
Li Ag Pd
12 6 2
direct
0.063 0.937 0.500
0.102 0.510 0.981
0.161 0.298 0.691
0.288 0.712 0.620
0.298 0.161 0.191
0.490 0.898 0.981
0.510 0.102 0.481
0.702 0.839 0.691
0.712 0.288 0.120
0.839 0.702 0.191
0.898 0.490 0.481
0.937 0.063 0.000
0.110 0.347 0.321
0.347 0.110 0.821
0.469 0.531 0.985
0.531 0.469 0.485
0.653 0.890 0.321
0.890 0.653 0.821
0.219 0.781 0.255
0.781 0.219 0.755


6.
CaScGaPt, optimized geometry, DFT GGA-PBE; energy = -20.29 eV per cell; space group = F-43m; ρ = 7.160 Mg/m³; calculated formation energy = -0.722 eV per atom
1.0
0.000 3.436 3.436
3.436 0.000 3.436
3.436 3.436 0.000
Ca Sc Ga Pt
1 1 1 1
direct
0.000 0.000 0.000
0.500 0.500 0.500
0.250 0.250 0.250
0.750 0.750 0.750


7.
NpP2Ru2Rh, optimized geometry, DFT GGA-PBE; energy = -106.13 eV per cell; space group = Pmc2_1; ρ = 10.848 Mg/m³; calculated formation energy = -0.567 eV per atom
1.0
3.907 0.000 0.000
0.000 7.643 0.000
0.000 0.000 6.192
Np P Ru Rh
2 4 4 2
direct
0.000 0.064 0.000
0.000 0.936 0.500
0.000 0.384 0.763
0.000 0.616 0.263
0.500 0.181 0.293
0.500 0.819 0.793
0.000 0.338 0.386
0.000 0.662 0.886
0.500 0.421 0.065
0.500 0.579 0.565
0.500 0.219 0.676
0.500 0.781 0.176


8.
ScVTc3, optimized geometry, DFT GGA-PBE; energy = -37.56 eV per cell; space group = Pm-3m; ρ = 6.973 Mg/m³; calculated formation energy = 1.798 eV per atom; offset from the most stable computed form = 5.49 eV/f.u.
1.0
4.528 0.000 0.000
0.000 4.528 0.000
0.000 0.000 4.528
Sc V Tc
1 1 3
direct
0.000 0.000 0.000
0.500 0.500 0.500
0.000 0.000 0.500
0.000 0.500 0.000
0.500 0.000 0.000


9.
CdIrCl6, optimized geometry, DFT GGA-PBE; energy = -25.63 eV per cell; space group = R-3; ρ = 4.538 Mg/m³; offset from the most stable computed form = 0.32 eV/f.u.
1.0
3.120 1.801 5.615
-3.120 1.801 5.615
0.000 -3.603 5.615
Cd Ir Cl
1 1 6
direct
0.000 0.000 0.000
0.500 0.500 0.500
0.102 0.441 0.720
0.280 0.898 0.559
0.441 0.720 0.102
0.559 0.280 0.898
0.720 0.102 0.441
0.898 0.559 0.280


10.
La2YMgIr, optimized geometry, DFT GGA-PBE; energy = -27.76 eV per cell; space group = P4/mmm; ρ = 5.943 Mg/m³; calculated formation energy = -0.196 eV per atom; offset from the most stable computed form = 0.54 eV/f.u.
1.0
5.563 0.000 0.000
0.000 5.563 0.000
0.000 0.000 5.267
La Y Mg Ir
2 1 1 1
direct
0.000 0.500 0.000
0.500 0.000 0.000
0.000 0.000 0.500
0.500 0.500 0.500
0.500 0.500 0.000


11.
TbAl2Ag5, optimized geometry, DFT GGA-PBE; energy = -27.59 eV per cell; space group = Immm; ρ = 7.989 Mg/m³; calculated formation energy = -0.153 eV per atom
1.0
-1.876 3.916 5.321
1.876 -3.916 5.321
1.876 3.916 -5.321
Tb Al Ag
1 2 5
direct
0.000 0.000 0.000
0.247 0.747 0.500
0.753 0.253 0.500
0.156 0.360 0.796
0.436 0.640 0.796
0.500 0.000 0.500
0.564 0.360 0.204
0.844 0.640 0.204


12.
GaSnBi2H, optimized geometry, DFT GGA-PBE; energy = -17.42 eV per cell; space group = P4/mmm; ρ = 8.332 Mg/m³
1.0
5.926 0.000 0.000
0.000 5.926 0.000
0.000 0.000 3.448
Ga Sn Bi H
1 1 2 1
direct
0.000 0.000 0.000
0.500 0.500 0.500
0.000 0.500 0.000
0.500 0.000 0.000
0.000 0.000 0.500


13.
KNa2GaAg, optimized geometry, DFT GGA-PBE; energy = -9.39 eV per cell; space group = P4/mmm; ρ = 2.588 Mg/m³; calculated formation energy = 0.044 eV per atom; offset from the most stable computed form = 0.07 eV/f.u.
1.0
5.791 0.000 0.000
0.000 5.791 0.000
0.000 0.000 5.026
K Na Ga Ag
1 2 1 1
direct
0.000 0.000 0.000
0.000 0.500 0.500
0.500 0.000 0.500
0.500 0.500 0.500
0.500 0.500 0.000


14.
HfAs3Rh, optimized geometry, DFT GGA-PBE; energy = -27.71 eV per cell; space group = Pm-3m; ρ = 6.514 Mg/m³; calculated formation energy = 0.708 eV per atom; offset from the most stable computed form = 1.43 eV/f.u.
1.0
5.053 0.000 0.000
0.000 5.053 0.000
0.000 0.000 5.053
Hf As Rh
1 3 1
direct
0.000 0.000 0.000
0.000 0.000 0.500
0.000 0.500 0.000
0.500 0.000 0.000
0.500 0.500 0.500


15.
GaSn2Au8, optimized geometry, DFT GGA-PBE; energy = -37.51 eV per cell; space group = C2/m; ρ = 13.161 Mg/m³; calculated formation energy = -0.023 eV per atom
1.0
6.681 -3.859 0.000
6.681 3.859 0.000
-1.331 0.000 4.607
Ga Sn Au
1 2 8
direct
0.000 0.000 0.000
0.327 0.327 0.599
0.673 0.673 0.401
0.023 0.639 0.893
0.109 0.109 0.570
0.361 0.977 0.107
0.441 0.441 0.204
0.559 0.559 0.796
0.639 0.023 0.893
0.891 0.891 0.430
0.977 0.361 0.107


16.
Er2SnRu, optimized geometry, DFT GGA-PBE; energy = -24.73 eV per cell; space group = P4/mmm; ρ = 10.038 Mg/m³; calculated formation energy = -0.582 eV per atom; offset from the most stable computed form = 0.00 eV/f.u.
1.0
3.368 0.000 0.000
0.000 3.368 0.000
0.000 0.000 8.084
Er Sn Ru
2 1 1
direct
0.000 0.000 0.206
0.000 0.000 0.794
0.500 0.500 0.500
0.500 0.500 0.000


17.
Tm4HgSe, optimized geometry, DFT GGA-PBE; energy = -47.16 eV per cell; space group = P2_1/m; ρ = 8.424 Mg/m³
1.0
5.854 0.000 0.000
0.000 9.470 0.000
-2.183 0.000 6.793
Tm Hg Se
8 2 2
direct
0.070 0.250 0.090
0.192 0.750 0.446
0.302 0.048 0.771
0.302 0.452 0.771
0.698 0.548 0.229
0.698 0.952 0.229
0.808 0.250 0.554
0.930 0.750 0.910
0.420 0.750 0.903
0.580 0.250 0.097
0.305 0.250 0.491
0.695 0.750 0.509


18.
CePmGaHg, optimized geometry, DFT GGA-PBE; energy = -15.67 eV per cell; space group = F-43m; ρ = 8.699 Mg/m³; calculated formation energy = -0.414 eV per atom; offset from the most stable computed form = 0.15 eV/f.u.
1.0
0.000 3.757 3.757
3.757 0.000 3.757
3.757 3.757 0.000
Ce Pm Ga Hg
1 1 1 1
direct
0.000 0.000 0.000
0.500 0.500 0.500
0.250 0.250 0.250
0.750 0.750 0.750


19.
Li2HoPt2, optimized geometry, DFT GGA-PBE; energy = -24.22 eV per cell; space group = C2/m; ρ = 11.707 Mg/m³; calculated formation energy = -0.746 eV per atom; offset from the most stable computed form = 0.00 eV/f.u.
1.0
3.913 -2.278 0.000
3.913 2.278 0.000
-2.535 0.000 4.528
Li Ho Pt
2 1 2
direct
0.085 0.085 0.249
0.915 0.915 0.751
0.500 0.500 0.500
0.281 0.281 0.849
0.719 0.719 0.151


20.
Pm3HoAl8, optimized geometry, DFT GGA-PBE; energy = -54.86 eV per cell; space group = R3m; ρ = 5.363 Mg/m³; calculated formation energy = -0.507 eV per atom; offset from the most stable computed form = 0.00 eV/f.u.
1.0
2.812 1.623 9.221
-2.812 1.623 9.221
0.000 -3.247 9.221
Pm Ho Al
3 1 8
direct
0.000 0.000 0.000
0.125 0.125 0.125
0.625 0.625 0.625
0.500 0.500 0.500
0.062 0.062 0.562
0.062 0.562 0.062
0.064 0.563 0.563
0.312 0.312 0.312
0.562 0.062 0.062
0.563 0.064 0.563
0.563 0.563 0.064
0.813 0.813 0.813


21.
Rb2MgTlF6, optimized geometry, DFT GGA-PBE; energy = -43.94 eV per cell; space group = Fm-3m; ρ = 4.915 Mg/m³
1.0
0.000 4.427 4.427
4.427 0.000 4.427
4.427 4.427 0.000
Rb Mg Tl F
2 1 1 6
direct
0.250 0.250 0.250
0.750 0.750 0.750
0.000 0.000 0.000
0.500 0.500 0.500
0.229 0.229 0.771
0.229 0.771 0.229
0.229 0.771 0.771
0.771 0.229 0.229
0.771 0.229 0.771
0.771 0.771 0.229


22.
Al4Co5Mo, optimized geometry, DFT GGA-PBE; energy = -66.08 eV per cell; space group = P4/mmm; ρ = 6.979 Mg/m³; calculated formation energy = -0.475 eV per atom
1.0
2.800 0.000 0.000
0.000 2.800 0.000
0.000 0.000 15.136
Al Co Mo
4 5 1
direct
0.000 0.000 0.096
0.000 0.000 0.289
0.000 0.000 0.711
0.000 0.000 0.904
0.500 0.500 0.000
0.500 0.500 0.191
0.500 0.500 0.386
0.500 0.500 0.614
0.500 0.500 0.809
0.000 0.000 0.500


23.
LaNdSm3, optimized geometry, DFT GGA-PBE; energy = -94.73 eV per cell; space group = Pnma; ρ = 6.979 Mg/m³; calculated formation energy = 0.034 eV per atom; offset from the most stable computed form = 0.10 eV/f.u.
1.0
7.228 0.000 0.000
0.000 5.818 0.000
0.000 0.000 16.617
La Nd Sm
4 4 12
direct
0.125 0.250 0.250
0.375 0.750 0.750
0.625 0.250 0.250
0.875 0.750 0.750
0.125 0.250 0.651
0.375 0.750 0.151
0.625 0.250 0.849
0.875 0.750 0.349
0.125 0.750 0.537
0.125 0.750 0.963
0.126 0.250 0.849
0.374 0.750 0.349
0.375 0.250 0.037
0.375 0.250 0.463
0.625 0.750 0.537
0.625 0.750 0.963
0.626 0.250 0.651
0.874 0.750 0.151
0.875 0.250 0.037
0.875 0.250 0.463


24.
NdMg2Ag, optimized geometry, DFT GGA-PBE; energy = -11.35 eV per cell; space group = P4/mmm; ρ = 5.230 Mg/m³; calculated formation energy = -0.135 eV per atom
1.0
3.436 0.000 0.000
0.000 3.436 0.000
0.000 0.000 8.089
Nd Mg Ag
1 2 1
direct
0.000 0.000 0.000
0.500 0.500 0.303
0.500 0.500 0.697
0.000 0.000 0.500